The following is a DFT calculation (PBE-GGA) of a geometry-optimized Ac4Bi2F structure.

**E_form (uncorrected)**: -1.106 eV/atom

Cell: 5.112 5.112 10.062 Å, 104.72 104.72 90.00°
Positions (direct):
Ac1 0.819 0.819 0.638
Ac2 0.181 0.181 0.362
Ac3 0.000 0.500 0.000
Ac4 0.500 0.000 0.000
Bi1 0.634 0.634 0.268
Bi2 0.366 0.366 0.732
F1 0.000 0.000 0.000

The following is a DFT calculation (PBE-GGA) of a geometry-optimized Zr2AlZn structure.

**Energy of formation from the pure elements**: -308 meV/atom

Cell: 5.004 5.004 3.048 Å, 90.00 90.00 90.00°
Positions (direct):
Zn1 0.000 0.500 0.500
Al1 0.500 0.000 0.500
Zr1 0.000 0.000 0.000
Zr2 0.500 0.500 0.000

The following is a DFT calculation (PBE-GGA) of a geometry-optimized ZrCdCl2 structure.

**E_form (uncorrected)**: -0.786 eV/atom
**Relative energy among the computed polymorphs**: 0.287 eV/atom

Cell: 3.559 3.557 7.041 Å, 90.00 90.00 90.00°
Positions (direct):
Cl1 0.000 0.000 0.053
Cl2 0.500 0.500 0.301
Zr1 0.000 0.000 0.421
Cd1 0.500 0.500 0.725

The following is a DFT calculation (PBE-GGA) of a geometry-optimized TaTcOs3 structure.

**Relative energy among the computed polymorphs**: 0.365 eV/atom
**Energy of formation from the pure elements**: 2446 meV/atom

Cell: 4.703 4.703 4.703 Å, 90.00 90.00 90.00°
Last column: magnetic moment on the atom in μB.
Positions (direct):
Os1 0.000 0.500 0.000  -0.09
Os2 0.000 0.000 0.500  -0.09
Os3 0.500 0.000 0.000  -0.09
Tc1 0.500 0.500 0.500  2.93
Ta1 0.000 0.000 0.000  0.05

The following is a DFT calculation (PBE-GGA) of a geometry-optimized KTl6F8 structure.

**E_form (uncorrected)**: -1.793 eV/atom

Cell: 7.022 7.022 7.022 Å, 99.13 99.13 99.13°
Positions (direct):
K1 0.000 0.000 0.000
Tl1 0.710 0.433 0.887
Tl2 0.433 0.887 0.710
Tl3 0.887 0.710 0.433
Tl4 0.290 0.567 0.113
Tl5 0.567 0.113 0.290
Tl6 0.113 0.290 0.567
F1 0.647 0.647 0.647
F2 0.353 0.353 0.353
F3 0.663 0.774 0.102
F4 0.774 0.102 0.663
F5 0.102 0.663 0.774
F6 0.337 0.226 0.898
F7 0.226 0.898 0.337
F8 0.898 0.337 0.226

The following is a DFT calculation (PBE-GGA) of a geometry-optimized Cd2Ag8Pd3 structure.

**Energy of formation from the pure elements**: 134 meV/atom

Cell: 5.347 5.347 10.629 Å, 75.43 75.43 60.00°
Positions (direct):
Cd1 0.638 0.638 0.086
Cd2 0.362 0.362 0.914
Ag1 0.726 0.726 0.821
Ag2 0.274 0.274 0.179
Ag3 0.225 0.725 0.326
Ag4 0.725 0.225 0.326
Ag5 0.725 0.725 0.326
Ag6 0.275 0.775 0.674
Ag7 0.775 0.275 0.674
Ag8 0.275 0.275 0.674
Pd1 0.000 0.000 0.000
Pd2 0.815 0.815 0.555
Pd3 0.185 0.185 0.445

The following is a DFT calculation (PBE-GGA) of a geometry-optimized Zr2S2O structure.

**E_form (uncorrected)**: -0.447 eV/atom
**Relative energy among the computed polymorphs**: 1.214 eV/atom

Cell: 3.208 3.208 10.953 Å, 90.00 90.00 90.00°
Positions (direct):
Zr1 0.500 0.500 0.178
Zr2 0.500 0.500 0.822
S1 0.500 0.500 0.588
S2 0.500 0.500 0.412
O1 0.500 0.500 0.000

The following is a DFT calculation (PBE-GGA) of a geometry-optimized Ba3Ge2Pd5 structure.

**Energy of formation from the pure elements**: -356 meV/atom

Cell: 6.785 9.681 9.681 Å, 58.50 69.49 69.49°
Positions (direct):
Ba1 0.250 0.000 0.000
Ba2 0.750 0.000 0.000
Ba3 0.370 0.407 0.853
Ba4 0.630 0.593 0.147
Ba5 0.870 0.853 0.407
Ba6 0.130 0.147 0.593
Ge1 0.166 0.731 0.936
Ge2 0.834 0.269 0.064
Ge3 0.666 0.936 0.731
Ge4 0.334 0.064 0.269
Pd1 0.250 0.500 0.500
Pd2 0.750 0.500 0.500
Pd3 0.511 0.739 0.739
Pd4 0.989 0.261 0.261
Pd5 0.489 0.261 0.261
Pd6 0.011 0.739 0.739
Pd7 0.107 0.554 0.231
Pd8 0.893 0.446 0.769
Pd9 0.607 0.231 0.554
Pd10 0.393 0.769 0.446